# Na4Ni3IrO8

Crystalline Na4Ni3IrO8 at its relaxed geometry (PBE+U, Alexandria).

Structure (POSCAR):
```
Na4Ni3IrO8
1.0
3.0832 1.7801 5.2749
-3.0832 1.7801 5.2749
0.0000 -3.5602 5.2749
Na Ni Ir O
4 3 1 8
Direct
0.0000 0.0000 0.0000
0.0000 0.5000 0.5000
0.5000 0.0000 0.5000
0.5000 0.5000 0.0000
0.0000 0.0000 0.5000
0.0000 0.5000 0.0000
0.5000 0.0000 0.0000
0.5000 0.5000 0.5000
0.2291 0.2291 0.2291
0.2540 0.7251 0.7251
0.2749 0.2749 0.7460
0.2749 0.7460 0.2749
0.7251 0.2540 0.7251
0.7251 0.7251 0.2540
0.7460 0.2749 0.2749
0.7709 0.7709 0.7709
```

Output
The raw total energy comes out at -5.065 eV/atom. Its density of states at the Fermi level is 0.06 states/eV per atom. As for the density: 5.62 g/cm3. The calculation puts the volume at 174 Å³ per cell. The magnetization is 2.99 μB per formula unit.